*i*
First-principles (GGA-PBE) data for HfTcW3 after structural relaxation, as listed in Alexandria.

a = 4.704 Å, b = 4.704 Å, c = 4.704 Å
α = 90.00°, β = 90.00°, γ = 90.00°
Space group Pm-3m (No. 221)
Asymmetric unit:
1 Hf 0.000 0.000 0.000 x1
2 Tc 0.500 0.500 0.500 x1
3 W 0.000 0.500 0.500 x3

Summary:
As for the crystal system: cubic.



*ii*
First-principles (GGA-PBE) data for HfTcW3 after structural relaxation, as listed in Alexandria.

a = 4.711 Å, b = 4.711 Å, c = 4.711 Å
α = 90.00°, β = 90.00°, γ = 90.00°
Space group Pm-3m (No. 221)
Asymmetric unit:
1 Hf 0.000 0.000 0.000 x1
2 Tc 0.500 0.500 0.500 x1
3 W 0.000 0.000 0.500 x3

Summary:
As for the crystal system: cubic.



*i* has the most favorable energy; the next structure is 1212 meV per atom above.



*i*
First-principles (GGA-PBE) data for HfTc2W after structural relaxation, as listed in Alexandria.

a = 6.377 Å, b = 6.377 Å, c = 6.377 Å
α = 90.00°, β = 90.00°, γ = 90.00°
Space group Fm-3m (No. 225)
Asymmetric unit:
1 Hf 0.000 0.000 0.000 x4
2 Tc 0.250 0.250 0.250 x8
3 W 0.000 0.000 0.500 x4

Summary:
As for the crystal system: cubic.



*ii*
First-principles (GGA-PBE) data for HfTc2W after structural relaxation, as listed in Alexandria.

a = 7.153 Å, b = 7.153 Å, c = 5.584 Å
α = 90.00°, β = 90.00°, γ = 90.00°
Space group I-42d (No. 122)
Asymmetric unit:
1 Hf 0.000 0.000 0.000 x4
2 Tc 0.225 0.250 0.625 x8
3 W 0.000 0.000 0.500 x4

Summary:
As for the crystal system: tetragonal.



*i* has the most favorable energy; the next structure is 877 meV per atom above.



*i*
First-principles (GGA-PBE) data for Y3HfTc after structural relaxation, as listed in Alexandria.

a = 5.286 Å, b = 5.286 Å, c = 5.286 Å
α = 90.00°, β = 90.00°, γ = 90.00°
Space group Pm-3m (No. 221)
Asymmetric unit:
1 Y 0.000 0.000 0.500 x3
2 Hf 0.500 0.500 0.500 x1
3 Tc 0.000 0.000 0.000 x1

Summary:
As for the crystal system: cubic.



*ii*
First-principles (GGA-PBE) data for Y3HfTc after structural relaxation, as listed in Alexandria.

a = 5.459 Å, b = 5.459 Å, c = 5.459 Å
α = 90.00°, β = 90.00°, γ = 90.00°
Space group Pm-3m (No. 221)
Asymmetric unit:
1 Y 0.000 0.000 0.500 x3
2 Hf 0.000 0.000 0.000 x1
3 Tc 0.500 0.500 0.500 x1

Summary:
As for the crystal system: cubic.



*i* has the most favorable energy; the next structure is 867 meV per atom above.



*i*
First-principles (GGA-PBE) data for YHf2Tc2 after structural relaxation, as listed in Alexandria.

a = 4.334 Å, b = 4.334 Å, c = 11.552 Å
α = 90.00°, β = 90.00°, γ = 90.00°
Space group I4/mmm (No. 139)
Asymmetric unit:
1 Y 0.000 0.000 0.000 x2
2 Hf 0.000 0.500 0.250 x4
3 Tc 0.000 0.000 0.393 x4

Summary:
As for the crystal system: tetragonal.



*ii*
First-principles (GGA-PBE) data for YHf2Tc2 after structural relaxation, as listed in Alexandria.

a = 4.496 Å, b = 4.496 Å, c = 10.886 Å
α = 90.00°, β = 90.00°, γ = 90.00°
Space group I4/mmm (No. 139)
Asymmetric unit:
1 Y 0.000 0.000 0.000 x2
2 Hf 0.000 0.000 0.367 x4
3 Tc 0.000 0.500 0.250 x4

Summary:
As for the crystal system: tetragonal.



*iii*
First-principles (GGA-PBE) data for YHf2Tc2 after structural relaxation, as listed in Alexandria.

a = 7.802 Å, b = 7.802 Å, c = 3.307 Å
α = 90.00°, β = 90.00°, γ = 90.00°
Space group P4/mbm (No. 127)
Asymmetric unit:
1 Y 0.000 0.000 0.000 x2
2 Hf 0.144 0.356 0.500 x4
3 Tc 0.149 0.649 0.000 x4

Summary:
As for the crystal system: tetragonal.



*iii* has the most favorable energy; the next structure is 66 meV per atom above.



*i*
First-principles (GGA-PBE) data for Hf2Zn2Tc after structural relaxation, as listed in Alexandria.

a = 6.866 Å, b = 6.866 Å, c = 3.657 Å
α = 90.00°, β = 90.00°, γ = 90.00°
Space group P4/mbm (No. 127)
Asymmetric unit:
1 Hf 0.182 0.318 0.000 x4
2 Zn 0.123 0.623 0.500 x4
3 Tc 0.000 0.000 0.500 x2

Summary:
As for the crystal system: tetragonal.



*ii*
First-principles (GGA-PBE) data for Hf2Zn2Tc after structural relaxation, as listed in Alexandria.

a = 3.651 Å, b = 14.271 Å, c = 3.348 Å
α = 90.00°, β = 90.00°, γ = 90.00°
Space group Cmmm (No. 65)
Asymmetric unit:
1 Hf 0.000 0.107 0.000 x4
2 Zn 0.000 0.303 0.500 x4
3 Tc 0.000 0.500 0.500 x2

Summary:
As for the crystal system: orthorhombic.



*ii* has the most favorable energy; the next structure is 120 meV per atom above.



*i*
First-principles (GGA-PBE) data for HfZn2Tc after structural relaxation, as listed in Alexandria.

a = 6.321 Å, b = 6.321 Å, c = 6.321 Å
α = 90.00°, β = 90.00°, γ = 90.00°
Space group Fm-3m (No. 225)
Asymmetric unit:
1 Hf 0.000 0.000 0.000 x4
2 Zn 0.250 0.250 0.250 x8
3 Tc 0.000 0.000 0.500 x4

Summary:
As for the crystal system: cubic.



*ii*
First-principles (GGA-PBE) data for HfZn2Tc after structural relaxation, as listed in Alexandria.

a = 3.845 Å, b = 3.845 Å, c = 4.307 Å
α = 90.00°, β = 90.00°, γ = 90.00°
Space group P4/mmm (No. 123)
Asymmetric unit:
1 Hf 0.000 0.000 0.000 x1
2 Zn 0.000 0.500 0.500 x2
3 Tc 0.500 0.500 0.000 x1

Summary:
As for the crystal system: tetragonal.



*iii*
First-principles (GGA-PBE) data for HfZn2Tc after structural relaxation, as listed in Alexandria.

a = 3.788 Å, b = 3.788 Å, c = 19.621 Å
α = 90.00°, β = 90.00°, γ = 90.00°
Space group I-42d (No. 122)
Asymmetric unit:
1 Hf 0.000 0.000 0.000 x4
2 Zn 0.217 0.250 0.625 x8
3 Tc 0.000 0.000 0.500 x4

Summary:
As for the crystal system: tetragonal.



*ii* has the most favorable energy; the next structure is 149 meV per atom above.